Computed, not measured: a relaxed PaCdNi2O6 crystal at the PBE+U level of DFT.

```
10
Lattice="2.7183 1.5694 4.7259 -2.7183 1.5694 4.7259 0.0000 -3.1388 4.7259" Properties=species:S:1:pos:R:3 pbc="T T T"
Pa 0.0000 0.0000 0.0000
Cd 0.0000 0.0000 6.9396
Ni 0.0000 0.0000 2.9866
Ni 0.0000 0.0000 10.0077
O -2.1489 0.0975 6.3017
O -0.6596 -1.5291 8.7419
O 0.9900 -1.9097 6.3017
O -0.9944 1.3357 8.7419
O 1.1589 1.8122 6.3017
O 1.6540 0.1933 8.7419
```

Values from the calculation:
The value obtained for the total energy is -6.320 eV/atom. The density of states at the Fermi level is 3.5 states/eV per cell.